Ac2DyAs2S2: optimized geometry, PBE.

It has space group I4/mmm (No. 139), with a = 5.2999 Å, b = 5.2999 Å, c = 15.2817 Å, α = 90.00°, β = 90.00° and γ = 90.00°. Symmetry generates all atoms from Ac at (0.0000, 0.0000, 0.1346), Dy at (0.0000, 0.0000, 0.5000), As at (0.0000, 0.5000, 0.0000) and S at (0.0000, 0.0000, 0.3195).

The value obtained for the density of states at the Fermi level is 7.44 states/eV/cell. The formation energy without anion corrections is -1.360 eV/atom. The raw total energy comes out at -5.70 eV/atom.